(P)
DFT (PBEsol) results for a relaxed SrCa2Ag crystal.

Computed properties:
calculated volume	275.4	Å³/cell

a = 3.833 Å, b = 5.868 Å, c = 12.245 Å
α = 90.00°, β = 90.00°, γ = 90.00°
Space group Immm (No. 71)
Asymmetric unit:
Sr: 0.000 0.000 0.000 (multiplicity 2)
Ca: 0.000 0.500 0.195 (multiplicity 4)
Ag: 0.000 0.000 0.500 (multiplicity 2)


(Q)
DFT (PBEsol) results for a relaxed SrCa2Ag crystal.

Computed properties:
calculated volume	137.1	Å³/cell

a = 3.770 Å, b = 3.770 Å, c = 9.646 Å
α = 90.00°, β = 90.00°, γ = 90.00°
Space group P4/mmm (No. 123)
Asymmetric unit:
Sr: 0.000 0.000 0.000 (multiplicity 1)
Ca: 0.500 0.500 0.320 (multiplicity 2)
Ag: 0.000 0.000 0.500 (multiplicity 1)


Energies relative to the most stable structure are (P) 2.0; (Q) 0.0, reported in kJ/mol of atoms.